Here is a relaxed structure of K2CdP2O7 from Alexandria via LeMat-Bulk. Energies are from GGA-PBEsol.

```
data_K2CdP2O7
_chemical_formula_sum 'K4 Cd2 P4 O14'
_cell_length_a 5.557
_cell_length_b 5.612
_cell_length_c 12.607
_cell_angle_alpha 79.11
_cell_angle_beta 77.27
_cell_angle_gamma 60.33
_symmetry_space_group_name_H-M 'P 1'
_symmetry_Int_Tables_number 1
loop_
_symmetry_equiv_pos_as_xyz
'x,y,z'
loop_
_atom_site_label
_atom_site_fract_x
_atom_site_fract_y
_atom_site_fract_z
K1 0.355 0.869 0.832
K2 0.645 0.131 0.168
K3 0.057 0.631 0.668
K4 0.943 0.369 0.332
Cd1 0.000 0.500 0.000
Cd2 0.500 0.000 0.500
P1 0.257 0.683 0.370
P2 0.689 0.183 0.870
P3 0.311 0.817 0.130
P4 0.743 0.317 0.630
O1 0.845 0.250 0.750
O2 0.199 0.130 0.122
O3 0.155 0.750 0.250
O4 0.801 0.870 0.878
O5 0.626 0.655 0.135
O6 0.208 0.724 0.052
O7 0.451 0.370 0.378
O8 0.016 0.224 0.552
O9 0.549 0.630 0.622
O10 0.416 0.845 0.365
O11 0.984 0.776 0.448
O12 0.374 0.345 0.865
O13 0.792 0.276 0.948
O14 0.584 0.155 0.635
```

Results
Its density of states at the Fermi level is 0.00 states/eV per atom. The formation energy without anion corrections comes out at -2.14 eV per atom. For the total DFT energy (no corrections), the calculation gives -77.4 eV per formula unit.

=====

Here is a relaxed structure of KCdP3O9 from Alexandria via LeMat-Bulk. Energies are from GGA-PBEsol.

```
data_KCdP3O9
_chemical_formula_sum 'K2 Cd2 P6 O18'
_cell_length_a 6.798
_cell_length_b 6.798
_cell_length_c 10.181
_cell_angle_alpha 90.00
_cell_angle_beta 90.00
_cell_angle_gamma 120.00
_symmetry_space_group_name_H-M 'P 1'
_symmetry_Int_Tables_number 1
loop_
_symmetry_equiv_pos_as_xyz
'x,y,z'
loop_
_atom_site_label
_atom_site_fract_x
_atom_site_fract_y
_atom_site_fract_z
K1 0.000 0.000 0.000
K2 0.000 0.000 0.500
Cd1 0.333 0.667 0.000
Cd2 0.333 0.667 0.500
P1 0.625 0.062 0.750
P2 0.436 0.375 0.750
P3 0.625 0.564 0.250
P4 0.938 0.564 0.750
P5 0.436 0.062 0.250
P6 0.938 0.375 0.250
O1 0.056 0.670 0.876
O2 0.614 0.944 0.876
O3 0.056 0.670 0.624
O4 0.056 0.386 0.376
O5 0.330 0.386 0.876
O6 0.614 0.944 0.624
O7 0.614 0.670 0.376
O8 0.056 0.386 0.124
O9 0.330 0.386 0.624
O10 0.614 0.670 0.124
O11 0.330 0.944 0.376
O12 0.330 0.944 0.124
O13 0.861 0.299 0.750
O14 0.438 0.139 0.750
O15 0.861 0.562 0.250
O16 0.701 0.562 0.750
O17 0.438 0.299 0.250
O18 0.701 0.139 0.250
```

Results
Its density of states at the Fermi level is 0.00 states/eV per atom. The formation energy without anion corrections comes out at -2.10 eV per atom. For the total DFT energy (no corrections), the calculation gives -96.4 eV per formula unit.

=====

Here is a relaxed structure of K2CdPbO from Alexandria via LeMat-Bulk. Energies are from GGA-PBEsol.

```
data_K2CdPbO
_chemical_formula_sum 'K2 Cd1 Pb1 O1'
_cell_length_a 4.978
_cell_length_b 5.183
_cell_length_c 5.183
_cell_angle_alpha 90.00
_cell_angle_beta 90.00
_cell_angle_gamma 90.00
_symmetry_space_group_name_H-M 'P 1'
_symmetry_Int_Tables_number 1
loop_
_symmetry_equiv_pos_as_xyz
'x,y,z'
loop_
_atom_site_label
_atom_site_fract_x
_atom_site_fract_y
_atom_site_fract_z
Pb1 0.500 0.000 0.000
K1 0.000 0.000 0.500
K2 0.000 0.500 0.000
O1 0.000 0.000 0.000
Cd1 0.500 0.500 0.500
```

Results
Its density of states at the Fermi level is 0.48 states/eV per atom. The formation energy without anion corrections comes out at -0.46 eV per atom. For the total DFT energy (no corrections), the calculation gives -15.0 eV per formula unit.

=====

Here is a relaxed structure of KCd2Os from Alexandria via LeMat-Bulk. Energies are from GGA-PBEsol.

```
data_KCd2Os
_chemical_formula_sum 'K1 Cd2 Os1'
_cell_length_a 2.922
_cell_length_b 2.922
_cell_length_c 10.803
_cell_angle_alpha 82.23
_cell_angle_beta 82.23
_cell_angle_gamma 60.00
_symmetry_space_group_name_H-M 'P 1'
_symmetry_Int_Tables_number 1
loop_
_symmetry_equiv_pos_as_xyz
'x,y,z'
loop_
_atom_site_label
_atom_site_fract_x
_atom_site_fract_y
_atom_site_fract_z
Cd1 0.261 0.261 0.217
Cd2 0.739 0.739 0.783
K1 0.500 0.500 0.500
Os1 0.000 0.000 0.000
```

Results
Its density of states at the Fermi level is 0.81 states/eV per atom. The energy of formation is 2.586 eV per formula unit. For the total DFT energy (no corrections), the calculation gives -13.2 eV per formula unit.

=====

Here is a relaxed structure of KRbCdOs2 from Alexandria via LeMat-Bulk. Energies are from GGA-PBEsol.

```
data_KRbCdOs2
_chemical_formula_sum 'K1 Rb1 Cd1 Os2'
_cell_length_a 5.048
_cell_length_b 5.048
_cell_length_c 5.975
_cell_angle_alpha 90.00
_cell_angle_beta 90.00
_cell_angle_gamma 90.00
_symmetry_space_group_name_H-M 'P 1'
_symmetry_Int_Tables_number 1
loop_
_symmetry_equiv_pos_as_xyz
'x,y,z'
loop_
_atom_site_label
_atom_site_fract_x
_atom_site_fract_y
_atom_site_fract_z
K1 0.500 0.500 0.500
Os1 0.000 0.500 0.000
Os2 0.500 0.000 0.000
Rb1 0.000 0.000 0.500
Cd1 0.000 0.000 0.000
```

Results
Its density of states at the Fermi level is 1.51 states/eV per atom. The energy of formation is 10.417 eV per formula unit. For the total DFT energy (no corrections), the calculation gives -17.4 eV per formula unit.

=====

Here is a relaxed structure of KCdP4 from Alexandria via LeMat-Bulk. Energies are from GGA-PBEsol.

```
data_KCdP4
_chemical_formula_sum 'K1 Cd1 P4'
_cell_length_a 5.764
_cell_length_b 5.764
_cell_length_c 5.764
_cell_angle_alpha 60.00
_cell_angle_beta 60.00
_cell_angle_gamma 60.00
_symmetry_space_group_name_H-M 'P 1'
_symmetry_Int_Tables_number 1
loop_
_symmetry_equiv_pos_as_xyz
'x,y,z'
loop_
_atom_site_label
_atom_site_fract_x
_atom_site_fract_y
_atom_site_fract_z
Cd1 0.750 0.750 0.750
K1 0.000 0.000 0.000
P1 0.402 0.402 0.402
P2 0.402 0.402 0.795
P3 0.795 0.402 0.402
P4 0.402 0.795 0.402
```

Results
Its density of states at the Fermi level is 0.76 states/eV per atom. The energy of formation is 0.739 eV per formula unit. For the total DFT energy (no corrections), the calculation gives -24.8 eV per formula unit.

=====

Here is a relaxed structure of KCdP2 from Alexandria via LeMat-Bulk. Energies are from GGA-PBEsol.

```
data_KCdP2
_chemical_formula_sum 'K1 Cd1 P2'
_cell_length_a 3.415
_cell_length_b 3.415
_cell_length_c 9.133
_cell_angle_alpha 79.22
_cell_angle_beta 79.22
_cell_angle_gamma 60.00
_symmetry_space_group_name_H-M 'P 1'
_symmetry_Int_Tables_number 1
loop_
_symmetry_equiv_pos_as_xyz
'x,y,z'
loop_
_atom_site_label
_atom_site_fract_x
_atom_site_fract_y
_atom_site_fract_z
Cd1 0.485 0.485 0.546
K1 0.259 0.259 0.223
P1 0.022 0.022 0.933
P2 0.734 0.734 0.799
```

Results
Its density of states at the Fermi level is 0.62 states/eV per atom. The energy of formation is 0.312 eV per formula unit. For the total DFT energy (no corrections), the calculation gives -13.6 eV per formula unit.

=====

Here is a relaxed structure of K4CdP2 from Alexandria via LeMat-Bulk. Energies are from GGA-PBEsol.

```
data_K4CdP2
_chemical_formula_sum 'K4 Cd1 P2'
_cell_length_a 5.617
_cell_length_b 5.617
_cell_length_c 9.518
_cell_angle_alpha 72.84
_cell_angle_beta 72.84
_cell_angle_gamma 60.00
_symmetry_space_group_name_H-M 'P 1'
_symmetry_Int_Tables_number 1
loop_
_symmetry_equiv_pos_as_xyz
'x,y,z'
loop_
_atom_site_label
_atom_site_fract_x
_atom_site_fract_y
_atom_site_fract_z
P1 0.411 0.411 0.767
P2 0.589 0.589 0.233
K1 0.893 0.893 0.322
K2 0.107 0.107 0.678
K3 0.292 0.292 0.124
K4 0.708 0.708 0.876
Cd1 0.500 0.500 0.500
```

Results
The energy of formation is -2.271 eV per formula unit. For the total DFT energy (no corrections), the calculation gives -19.6 eV per formula unit.

=====

Here is a relaxed structure of K2Cd2P from Alexandria via LeMat-Bulk. Energies are from GGA-PBEsol.

```
data_K2Cd2P
_chemical_formula_sum 'K2 Cd2 P1'
_cell_length_a 6.085
_cell_length_b 6.085
_cell_length_c 6.085
_cell_angle_alpha 78.09
_cell_angle_beta 66.62
_cell_angle_gamma 113.38
_symmetry_space_group_name_H-M 'P 1'
_symmetry_Int_Tables_number 1
loop_
_symmetry_equiv_pos_as_xyz
'x,y,z'
loop_
_atom_site_label
_atom_site_fract_x
_atom_site_fract_y
_atom_site_fract_z
P1 0.000 0.000 0.000
K1 0.500 0.250 0.250
K2 0.500 0.750 0.750
Cd1 0.000 0.323 0.677
Cd2 0.000 0.677 0.323
```

Results
Its density of states at the Fermi level is 0.39 states/eV per atom. The energy of formation is 0.462 eV per formula unit. For the total DFT energy (no corrections), the calculation gives -10.0 eV per formula unit.

=====

Here is a relaxed structure of KCd3P from Alexandria via LeMat-Bulk. Energies are from GGA-PBEsol.

```
data_KCd3P
_chemical_formula_sum 'K1 Cd3 P1'
_cell_length_a 6.072
_cell_length_b 6.072
_cell_length_c 6.072
_cell_angle_alpha 90.00
_cell_angle_beta 90.00
_cell_angle_gamma 90.00
_symmetry_space_group_name_H-M 'P 1'
_symmetry_Int_Tables_number 1
loop_
_symmetry_equiv_pos_as_xyz
'x,y,z'
loop_
_atom_site_label
_atom_site_fract_x
_atom_site_fract_y
_atom_site_fract_z
P1 0.500 0.500 0.500
K1 0.000 0.000 0.000
Cd1 0.000 0.500 0.000
Cd2 0.000 0.000 0.500
Cd3 0.500 0.000 0.000
```

Results
Its density of states at the Fermi level is 0.67 states/eV per atom. The energy of formation is 6.302 eV per formula unit. For the total DFT energy (no corrections), the calculation gives -4.2 eV per formula unit.

=====

Here is a relaxed structure of KTaCdP2 from Alexandria via LeMat-Bulk. Energies are from GGA-PBEsol.

```
data_KTaCdP2
_chemical_formula_sum 'K1 Ta1 Cd1 P2'
_cell_length_a 4.782
_cell_length_b 4.782
_cell_length_c 6.539
_cell_angle_alpha 90.00
_cell_angle_beta 90.00
_cell_angle_gamma 90.00
_symmetry_space_group_name_H-M 'P 1'
_symmetry_Int_Tables_number 1
loop_
_symmetry_equiv_pos_as_xyz
'x,y,z'
loop_
_atom_site_label
_atom_site_fract_x
_atom_site_fract_y
_atom_site_fract_z
P1 0.000 0.500 0.000
P2 0.500 0.000 0.000
K1 0.000 0.000 0.500
Cd1 0.500 0.500 0.500
Ta1 0.000 0.000 0.000
```

Results
Its density of states at the Fermi level is 0.47 states/eV per atom. The energy of formation is 2.539 eV per formula unit. For the total DFT energy (no corrections), the calculation gives -23.9 eV per formula unit.

=====

Here is a relaxed structure of KCdPb from Alexandria via LeMat-Bulk. Energies are from GGA-PBEsol.

```
data_KCdPb
_chemical_formula_sum 'K1 Cd1 Pb1'
_cell_length_a 3.758
_cell_length_b 5.246
_cell_length_c 5.246
_cell_angle_alpha 120.00
_cell_angle_beta 90.00
_cell_angle_gamma 90.00
_symmetry_space_group_name_H-M 'P 1'
_symmetry_Int_Tables_number 1
loop_
_symmetry_equiv_pos_as_xyz
'x,y,z'
loop_
_atom_site_label
_atom_site_fract_x
_atom_site_fract_y
_atom_site_fract_z
Pb1 0.500 0.667 0.333
K1 0.000 0.333 0.667
Cd1 0.500 0.000 0.000
```

Results
Its density of states at the Fermi level is 0.25 states/eV per atom. The energy of formation is -0.284 eV per formula unit. For the total DFT energy (no corrections), the calculation gives -6.6 eV per formula unit.

=====

Here is a relaxed structure of KCd2Pb2 from Alexandria via LeMat-Bulk. Energies are from GGA-PBEsol.

```
data_KCd2Pb2
_chemical_formula_sum 'K1 Cd2 Pb2'
_cell_length_a 4.869
_cell_length_b 4.869
_cell_length_c 7.263
_cell_angle_alpha 109.59
_cell_angle_beta 109.59
_cell_angle_gamma 90.00
_symmetry_space_group_name_H-M 'P 1'
_symmetry_Int_Tables_number 1
loop_
_symmetry_equiv_pos_as_xyz
'x,y,z'
loop_
_atom_site_label
_atom_site_fract_x
_atom_site_fract_y
_atom_site_fract_z
Pb1 0.383 0.383 0.766
Pb2 0.617 0.617 0.234
K1 0.000 0.000 0.000
Cd1 0.250 0.750 0.500
Cd2 0.750 0.250 0.500
```

Results
Its density of states at the Fermi level is 0.26 states/eV per atom. The energy of formation is -0.309 eV per formula unit. For the total DFT energy (no corrections), the calculation gives -11.8 eV per formula unit.